This record from the Alexandria database describes a relaxed structure of CeGd2Tc. The functional is PBE-GGA.

POSCAR file:
```
CeGd2Tc
1.0
3.4548 0.0000 0.0000
0.0000 3.4548 0.0000
0.0000 0.0000 8.9002
Ce Gd Tc
1 2 1
Cartesian
0.0000 0.0000 0.0000
1.7274 1.7274 2.7693
1.7274 1.7274 6.1310
0.0000 0.0000 4.4501
```

Results
Formation enthalpy at 0 K = 0.111 eV per atom
V = 26.56 Å³ per atom
Relative energy among the computed polymorphs = 0 meV per atom
Space-group type = No. 123